*A*
! TbTh2Pa | Alexandria | PBE | optimized geometry; values from VASP
&SYSTEM
  ibrav = 0, nat = 16, ntyp = 3
/
ATOMIC_SPECIES
Tb 158.93 Tb.upf
Th 232.04 Th.upf
Pa 231.04 Pa.upf
ATOMIC_POSITIONS angstrom
Tb 0.0000 0.0000 0.0000
Tb 0.0000 3.9182 3.9182
Tb 3.9182 0.0000 3.9182
Tb 3.9182 3.9182 0.0000
Th 1.9591 1.9591 1.9591
Th 1.9591 1.9591 5.8773
Th 1.9591 5.8773 1.9591
Th 1.9591 5.8773 5.8773
Th 5.8773 1.9591 1.9591
Th 5.8773 1.9591 5.8773
Th 5.8773 5.8773 1.9591
Th 5.8773 5.8773 5.8773
Pa 0.0000 0.0000 3.9182
Pa 0.0000 3.9182 0.0000
Pa 3.9182 0.0000 0.0000
Pa 3.9182 3.9182 3.9182
CELL_PARAMETERS angstrom
7.8364 0.0000 0.0000
0.0000 7.8364 0.0000
0.0000 0.0000 7.8364
! spin magnetization: 0.0 μB/f.u.
! D(E_F): 39.9 states/eV per cell
! volume: 30.08 Å³ per atom



*B*
! TbTh2Pa | Alexandria | PBE | optimized geometry; values from VASP
&SYSTEM
  ibrav = 0, nat = 4, ntyp = 3
/
ATOMIC_SPECIES
Tb 158.93 Tb.upf
Th 232.04 Th.upf
Pa 231.04 Pa.upf
ATOMIC_POSITIONS angstrom
Tb 0.0000 0.0000 0.0000
Th 0.0000 2.5001 2.3985
Th 2.5001 0.0000 2.3985
Pa 2.5001 2.5001 0.0000
CELL_PARAMETERS angstrom
5.0003 0.0000 0.0000
0.0000 5.0003 0.0000
0.0000 0.0000 4.7970
! spin magnetization: 0.0 μB/f.u.
! D(E_F): 9.3 states/eV per cell
! volume: 29.98 Å³ per atom



*C*
! TbTh2Pa | Alexandria | PBE | optimized geometry; values from VASP
&SYSTEM
  ibrav = 0, nat = 12, ntyp = 3
/
ATOMIC_SPECIES
Tb 158.93 Tb.upf
Th 232.04 Th.upf
Pa 231.04 Pa.upf
ATOMIC_POSITIONS angstrom
Tb 0.0000 0.0000 0.0000
Tb 0.0000 2.0209 22.8579
Tb 1.7502 1.0104 11.4290
Th 0.0000 0.0000 8.4146
Th 0.0000 0.0000 14.3221
Th 0.0000 2.0209 2.8932
Th 0.0000 2.0209 31.2726
Th 1.7502 1.0104 19.8436
Th 1.7502 1.0104 25.7511
Pa 0.0000 0.0000 28.4993
Pa 0.0000 2.0209 17.0703
Pa 1.7502 1.0104 5.6414
CELL_PARAMETERS angstrom
3.5003 0.0000 0.0000
-1.7501 3.0313 0.0000
0.0000 0.0000 34.2869
! spin magnetization: 0.0 μB/f.u.
! D(E_F): 20.9 states/eV per cell
! volume: 30.32 Å³ per atom



The least stable of them is *A*.



*A*
! TbTh2Pa | Alexandria | PBE | optimized geometry; values from VASP
&SYSTEM
  ibrav = 0, nat = 12, ntyp = 3
/
ATOMIC_SPECIES
Tb 158.93 Tb.upf
Th 232.04 Th.upf
Pa 231.04 Pa.upf
ATOMIC_POSITIONS angstrom
Tb 0.0000 0.0000 0.0000
Tb 0.0000 1.9429 24.8818
Tb 1.6826 0.9715 12.4409
Th 0.0000 0.0000 3.2697
Th 0.0000 0.0000 34.0530
Th 0.0000 1.9429 21.6121
Th 0.0000 1.9429 28.1514
Th 1.6826 0.9715 9.1712
Th 1.6826 0.9715 15.7105
Pa 0.0000 0.0000 18.6613
Pa 0.0000 1.9429 6.2205
Pa 1.6826 0.9715 31.1022
CELL_PARAMETERS angstrom
3.3653 0.0000 0.0000
-1.6826 2.9144 0.0000
0.0000 0.0000 37.3227
! spin magnetization: 0.0 μB/f.u.
! D(E_F): 23.3 states/eV per cell
! volume: 30.50 Å³ per atom



*B*
! TbTh2Pa | Alexandria | PBE | optimized geometry; values from VASP
&SYSTEM
  ibrav = 0, nat = 4, ntyp = 3
/
ATOMIC_SPECIES
Tb 158.93 Tb.upf
Th 232.04 Th.upf
Pa 231.04 Pa.upf
ATOMIC_POSITIONS angstrom
Tb 0.0000 0.0000 0.0000
Th 1.7491 1.7491 2.5752
Th 1.7491 1.7491 7.2923
Pa 0.0000 0.0000 4.9338
CELL_PARAMETERS angstrom
3.4983 0.0000 0.0000
0.0000 3.4983 0.0000
0.0000 0.0000 9.8676
! spin magnetization: 0.0 μB/f.u.
! D(E_F): 5.8 states/eV per cell
! volume: 30.19 Å³ per atom



The least stable of them is *A*.